No. 1
Density functional theory data (meta-GGA SCAN) for SrNi2Br at its PBEsol-relaxed geometry.

Computed properties:
- Uncorrected energy: -73.2 eV/f.u.
- ΔE_f (raw): 0.2173 eV/atom

CIF file:
```
data_SrNi2Br
_chemical_formula_sum 'Sr1 Ni2 Br1'
_symmetry_space_group_name_H-M 'P 4/m m m'
_symmetry_Int_Tables_number 123
_symmetry_space_group_name_Hall '-P 4 2'
_cell_length_a 3.933
_cell_length_b 3.933
_cell_length_c 5.826
_cell_angle_alpha 90.00
_cell_angle_beta 90.00
_cell_angle_gamma 90.00
loop_
_atom_site_label
_atom_site_fract_x
_atom_site_fract_y
_atom_site_fract_z
_atom_site_occupancy
Sr1 0.000 0.000 0.000 1
Ni1 0.500 0.500 0.191 1
Br1 0.000 0.000 0.500 1
```

---

No. 2
Density functional theory data (meta-GGA SCAN) for SrNi2Br at its PBEsol-relaxed geometry.

Computed properties:
- Uncorrected energy: -71.8 eV/f.u.
- ΔE_f (raw): 0.5787 eV/atom

CIF file:
```
data_SrNi2Br
_chemical_formula_sum 'Sr4 Ni8 Br4'
_symmetry_space_group_name_H-M 'F m -3 m'
_symmetry_Int_Tables_number 225
_symmetry_space_group_name_Hall '-F 4 2 3'
_cell_length_a 6.615
_cell_length_b 6.615
_cell_length_c 6.615
_cell_angle_alpha 90.00
_cell_angle_beta 90.00
_cell_angle_gamma 90.00
loop_
_atom_site_label
_atom_site_fract_x
_atom_site_fract_y
_atom_site_fract_z
_atom_site_occupancy
Sr1 0.000 0.000 0.000 1
Ni1 0.250 0.250 0.250 1
Br1 0.000 0.000 0.500 1
```

---

No. 3
Density functional theory data (meta-GGA SCAN) for SrNi2Br at its PBEsol-relaxed geometry.

Computed properties:
- Uncorrected energy: -74.4 eV/f.u.
- ΔE_f (raw): -0.0752 eV/atom

CIF file:
```
data_SrNi2Br
_chemical_formula_sum 'Sr1 Ni2 Br1'
_symmetry_space_group_name_H-M 'P m m m'
_symmetry_Int_Tables_number 47
_cell_length_a 4.073
_cell_length_b 4.131
_cell_length_c 4.847
_cell_angle_alpha 90.00
_cell_angle_beta 90.00
_cell_angle_gamma 90.00
loop_
_symmetry_equiv_pos_as_xyz
'x,y,z'
'-x,-y,-z'
'-x,-y,z'
'x,y,-z'
'x,-y,-z'
'-x,y,z'
'-x,y,-z'
'x,-y,z'
loop_
_atom_site_label
_atom_site_fract_x
_atom_site_fract_y
_atom_site_fract_z
_atom_site_occupancy
Sr1 0.000 0.000 0.000 1
Ni1 0.500 0.500 0.241 1
Br1 0.000 0.500 0.500 1
```

---

no.,distance to the lowest polymorph of the same formula (meV/atom)
1,339
2,700
3,46